Record 1
Compound: LiMg5Pb6
Source: Alexandria via LeMat-Bulk
Functional: GGA-PBE
Structure: relaxed

POSCAR file:
```
LiMg5Pb6
1.0
-2.580 2.972 4.534
4.569 -4.015 8.044
6.055 1.705 3.734
Li Mg Pb
1 5 6
Cartesian
0.000 0.000 0.000
3.485 1.931 6.099
3.533 -0.778 3.927
0.994 -0.521 6.289
7.091 -1.532 7.851
4.559 -1.269 10.213
0.446 2.468 5.296
4.045 -1.047 7.091
0.492 -0.259 3.104
1.497 -0.784 9.474
3.999 1.710 9.221
7.598 -1.805 11.016
```

Summary:
magnetization: 0.0000 μB/atom
energy of formation: -0.085 eV/atom
energy relative to the lowest polymorph listed for this composition: 6 meV per atom
total energy: -2.763 eV per atom

***

Record 2
Compound: Li4Mg3Pb
Source: Alexandria via LeMat-Bulk
Functional: GGA-PBE
Structure: relaxed

POSCAR file:
```
Li4Mg3Pb
1.0
3.519 0.000 0.000
0.000 3.519 0.000
0.000 0.000 13.342
Pb Mg Li
1 3 4
Cartesian
1.760 1.760 0.000
1.760 1.760 3.374
1.760 1.760 6.671
1.760 1.760 9.968
0.000 0.000 11.702
0.000 0.000 1.640
0.000 0.000 5.008
0.000 0.000 8.334
```

Summary:
magnetization: 0.0000 μB/atom
energy of formation: -0.130 eV/atom
total energy: -2.149 eV per atom

***

Record 3
Compound: LiMg5Pb2
Source: Alexandria via LeMat-Bulk
Functional: GGA-PBE
Structure: relaxed

POSCAR file:
```
LiMg5Pb2
1.0
-0.773 0.239 4.725
4.696 -4.568 1.000
4.552 4.790 0.503
Li Mg Pb
1 5 2
Cartesian
0.000 0.000 0.000
6.704 0.161 1.089
4.592 2.216 0.640
4.656 -1.994 0.863
-0.387 0.119 2.362
2.544 0.061 0.413
1.961 -2.165 2.862
1.890 2.514 2.614
```

Summary:
magnetization: 0.0000 μB/atom
energy of formation: 0.204 eV/atom
energy relative to the lowest polymorph listed for this composition: 261 meV per atom
total energy: -1.959 eV per atom

***

Record 4
Compound: Li2MgPb9
Source: Alexandria via LeMat-Bulk
Functional: GGA-PBE
Structure: relaxed

POSCAR file:
```
Li2MgPb9
1.0
-2.672 4.003 0.569
-2.346 -2.091 3.690
9.948 5.314 9.335
Li Mg Pb
2 1 9
Cartesian
3.338 1.783 3.132
6.610 3.531 6.203
0.000 0.000 0.000
-2.509 0.956 2.130
0.810 2.729 5.244
4.120 4.497 8.350
0.338 2.896 1.856
3.638 4.658 4.952
6.937 6.421 8.048
0.502 -0.151 3.416
3.801 1.612 6.512
7.101 3.374 9.608
```

Summary:
magnetization: 0.0000 μB/atom
energy of formation: -0.082 eV/atom
total energy: -3.315 eV per atom

***

Record 5
Compound: LiMg14Pb
Source: Alexandria via LeMat-Bulk
Functional: GGA-PBE
Structure: relaxed

POSCAR file:
```
LiMg14Pb
1.0
6.564 -0.014 0.000
0.014 6.564 0.000
0.000 0.000 8.608
Li Mg Pb
1 14 1
Cartesian
2.466 2.456 4.304
5.755 5.731 0.000
2.467 2.456 0.000
5.748 2.449 4.304
5.748 2.449 0.000
2.474 5.738 4.304
2.474 5.738 0.000
4.069 0.846 2.128
4.069 0.846 6.479
0.864 4.066 2.128
0.864 4.066 6.479
4.076 4.059 2.128
4.076 4.059 6.479
0.857 0.853 2.128
0.857 0.853 6.479
5.755 5.731 4.304
```

Summary:
magnetization: 0.0000 μB/atom
energy of formation: -0.008 eV/atom
total energy: -1.754 eV per atom

***

Record 6
Compound: LiMg3Pb
Source: Alexandria via LeMat-Bulk
Functional: GGA-PBE
Structure: relaxed

POSCAR file:
```
LiMg3Pb
1.0
-1.409 -4.685 0.975
4.429 -0.892 2.114
-1.811 1.463 4.411
Pb Mg Li
1 3 1
Cartesian
0.605 -2.057 3.750
2.214 -0.446 1.057
-0.906 0.731 2.206
-0.704 -2.342 0.487
0.000 0.000 0.000
```

Summary:
magnetization: 0.0000 μB/atom
energy of formation: 0.246 eV/atom
energy relative to the lowest polymorph listed for this composition: 324 meV per atom
total energy: -1.835 eV per atom

***

Record 7
Compound: LiMg5Pb6
Source: Alexandria via LeMat-Bulk
Functional: GGA-PBE
Structure: relaxed

POSCAR file:
```
LiMg5Pb6
1.0
-2.139 -1.682 4.620
-3.409 -5.183 -3.465
5.285 -5.784 3.452
Pb Mg Li
6 5 1
Cartesian
-2.609 -7.208 2.391
-0.891 -4.596 4.137
-1.918 -2.131 1.448
-3.630 -4.734 -0.292
0.629 -8.053 0.471
2.346 -5.441 2.217
0.373 -7.553 3.646
1.063 -2.499 2.693
-1.704 -2.592 -1.732
2.084 -4.966 5.379
-0.635 -5.096 0.962
0.000 0.000 0.000
```

Summary:
magnetization: 0.0000 μB/atom
energy of formation: -0.091 eV/atom
energy relative to the lowest polymorph listed for this composition: 0 meV per atom
total energy: -2.769 eV per atom

***

Record 8
Compound: Li2Mg5Pb
Source: Alexandria via LeMat-Bulk
Functional: GGA-PBE
Structure: relaxed

POSCAR file:
```
Li2Mg5Pb
1.0
6.791 0.000 -3.131
-1.443 6.636 -3.131
-0.257 -0.319 8.373
Li Mg Pb
4 10 2
Cartesian
4.127 0.908 -2.422
4.943 4.226 -4.696
0.405 2.410 -1.565
1.221 5.728 -3.839
5.867 3.067 1.149
0.809 5.217 -0.893
0.000 0.000 0.000
2.674 3.318 -3.131
4.282 1.100 3.005
2.178 4.418 2.077
-0.263 6.385 2.077
2.913 1.899 0.035
5.354 -0.068 0.035
-0.777 3.250 0.963
3.882 4.817 -0.510
1.208 1.499 2.621
```

Summary:
magnetization: 0.0000 μB/atom
energy of formation: -0.006 eV/atom
total energy: -1.945 eV per atom

***

Record 9
Compound: Li2Mg2Pb7
Source: Alexandria via LeMat-Bulk
Functional: GGA-PBE
Structure: relaxed

POSCAR file:
```
Li2Mg2Pb7
1.0
6.278 0.466 0.672
-0.099 6.752 1.664
-0.099 -0.813 6.907
Li Mg Pb
2 2 7
Cartesian
3.871 1.534 2.214
2.210 4.871 7.029
3.041 0.891 6.223
3.041 5.514 3.019
1.397 0.282 3.491
4.684 3.235 7.752
4.684 6.123 5.751
1.397 3.170 1.490
0.000 0.000 0.000
4.707 3.087 4.455
1.374 3.317 4.787
```

Summary:
magnetization: 0.0000 μB/atom
energy of formation: -0.027 eV/atom
total energy: -3.024 eV per atom

***

Record 10
Compound: LiMg3Pb3
Source: Alexandria via LeMat-Bulk
Functional: GGA-PBE
Structure: relaxed

POSCAR file:
```
LiMg3Pb3
1.0
-2.335 6.531 -4.213
-3.071 -4.816 -5.764
-7.139 -0.064 3.857
Pb Mg Li
6 6 2
Cartesian
-4.154 1.601 0.875
-3.320 -2.424 -1.918
-3.471 -0.347 -6.430
-5.321 4.866 -1.231
-6.890 -2.456 0.011
-1.935 2.061 -3.548
-4.337 -1.236 0.488
-5.873 -3.645 -2.394
-6.522 3.217 0.787
-3.287 2.490 -6.042
-2.952 3.249 -1.142
-2.119 -0.775 -3.935
-6.273 0.825 -3.060
0.000 0.000 0.000
```

Summary:
magnetization: 0.0000 μB/atom
energy of formation: 0.401 eV/atom
energy relative to the lowest polymorph listed for this composition: 465 meV per atom
total energy: -2.145 eV per atom

***

Record 11
Compound: Li6Mg2Pb3
Source: Alexandria via LeMat-Bulk
Functional: GGA-PBE
Structure: relaxed

POSCAR file:
```
Li6Mg2Pb3
1.0
3.773 0.000 0.000
0.000 3.773 0.000
-1.886 -1.886 17.170
Li Mg Pb
6 2 3
Cartesian
0.000 1.886 4.158
1.886 0.000 4.158
1.886 0.000 13.013
0.000 1.886 13.013
1.886 1.886 7.777
0.000 0.000 9.394
0.000 0.000 15.408
1.886 1.886 1.762
0.000 0.000 0.000
1.886 1.886 10.784
0.000 0.000 6.387
```

Summary:
magnetization: 0.0000 μB/atom
energy of formation: -0.103 eV/atom
total energy: -2.448 eV per atom

***

Record 12
Compound: LiMg3Pb
Source: Alexandria via LeMat-Bulk
Functional: GGA-PBE
Structure: relaxed

POSCAR file:
```
LiMg3Pb
1.0
8.601 -0.517 -0.167
-4.660 5.461 -0.639
-4.149 -2.483 5.641
Li Mg Pb
2 6 2
Cartesian
4.426 -0.102 -0.109
-2.203 2.887 -0.344
-3.760 0.374 3.212
-4.802 2.918 1.737
-1.816 2.787 2.755
-1.296 0.156 0.988
1.861 -0.016 2.029
-7.266 3.137 3.963
0.589 2.675 0.700
-0.545 0.099 4.083
```

Summary:
magnetization: 0.0000 μB/atom
energy of formation: -0.078 eV/atom
energy relative to the lowest polymorph listed for this composition: 0 meV per atom
total energy: -2.159 eV per atom